{"formula": "Cs2CuP2O7", "functional": "PBE", "state": "optimized geometry", "lattice": [[3.758, -6.578, 0.000], [3.758, 6.578, 0.000], [-3.741, 0.000, 9.372]], "species": ["Cs", "Cs", "Cs", "Cs", "Cu", "Cu", "P", "P", "P", "P", "O", "O", "O", "O", "O", "O", "O", "O", "O", "O", "O", "O", "O", "O"], "fractional_positions": [[0.039, 0.961, 0.500], [0.359, 0.775, 0.190], [0.775, 0.359, 0.690], [0.961, 0.039, 0.000], [0.301, 0.569, 0.528], [0.569, 0.301, 0.028], [0.341, 0.848, 0.826], [0.386, 0.480, 0.815], [0.480, 0.386, 0.315], [0.848, 0.341, 0.326], [0.084, 0.538, 0.364], [0.158, 0.315, 0.808], [0.175, 0.825, 0.897], [0.239, 0.735, 0.662], [0.315, 0.158, 0.308], [0.421, 0.476, 0.667], [0.450, 0.727, 0.889], [0.476, 0.421, 0.167], [0.481, 0.569, 0.412], [0.538, 0.084, 0.864], [0.569, 0.481, 0.912], [0.727, 0.450, 0.389], [0.735, 0.239, 0.162], [0.825, 0.175, 0.397]], "raw_formation_energy_ev_per_atom": -2.00}

{"formula": "CsPa4Cu3O12", "functional": "PBE", "state": "optimized geometry", "lattice": [[-4.162, 4.162, 4.162], [4.162, -4.162, 4.162], [4.162, 4.162, -4.162]], "species": ["Cs", "Pa", "Pa", "Pa", "Pa", "Cu", "Cu", "Cu", "O", "O", "O", "O", "O", "O", "O", "O", "O", "O", "O", "O"], "fractional_positions": [[0.000, 0.000, 0.000], [0.000, 0.000, 0.500], [0.000, 0.500, 0.000], [0.500, 0.000, 0.000], [0.500, 0.500, 0.500], [0.000, 0.500, 0.500], [0.500, 0.000, 0.500], [0.500, 0.500, 0.000], [0.129, 0.309, 0.819], [0.181, 0.490, 0.309], [0.181, 0.871, 0.691], [0.309, 0.181, 0.490], [0.309, 0.819, 0.129], [0.490, 0.309, 0.181], [0.510, 0.691, 0.819], [0.691, 0.181, 0.871], [0.691, 0.819, 0.510], [0.819, 0.129, 0.309], [0.819, 0.510, 0.691], [0.871, 0.691, 0.181]], "raw_formation_energy_ev_per_atom": -2.58}

{"formula": "CsPa2CuO8", "functional": "PBE", "state": "optimized geometry", "lattice": [[5.147, 0.000, 0.000], [-2.574, 4.458, 0.000], [0.000, 0.000, 8.644]], "species": ["Cs", "Pa", "Pa", "Cu", "O", "O", "O", "O", "O", "O", "O", "O"], "fractional_positions": [[0.000, 0.000, 0.000], [0.333, 0.667, 0.378], [0.667, 0.333, 0.622], [0.000, 0.000, 0.500], [0.175, 0.350, 0.616], [0.175, 0.825, 0.616], [0.333, 0.667, 0.159], [0.350, 0.175, 0.384], [0.650, 0.825, 0.616], [0.667, 0.333, 0.841], [0.825, 0.175, 0.384], [0.825, 0.650, 0.384]], "raw_formation_energy_ev_per_atom": -2.16}

{"formula": "Cs4Pa3CuO12", "functional": "PBE", "state": "optimized geometry", "lattice": [[-4.418, 4.418, 4.418], [4.418, -4.418, 4.418], [4.418, 4.418, -4.418]], "species": ["Cs", "Cs", "Cs", "Cs", "Pa", "Pa", "Pa", "Cu", "O", "O", "O", "O", "O", "O", "O", "O", "O", "O", "O", "O"], "fractional_positions": [[0.000, 0.000, 0.500], [0.000, 0.500, 0.000], [0.500, 0.000, 0.000], [0.500, 0.500, 0.500], [0.000, 0.500, 0.500], [0.500, 0.000, 0.500], [0.500, 0.500, 0.000], [0.000, 0.000, 0.000], [0.000, 0.263, 0.263], [0.000, 0.737, 0.737], [0.250, 0.500, 0.750], [0.250, 0.750, 0.500], [0.263, 0.000, 0.263], [0.263, 0.263, 0.000], [0.500, 0.250, 0.750], [0.500, 0.750, 0.250], [0.737, 0.000, 0.737], [0.737, 0.737, 0.000], [0.750, 0.250, 0.500], [0.750, 0.500, 0.250]], "raw_formation_energy_ev_per_atom": -2.29}

{"formula": "Cs2Pa3CuO12", "functional": "PBE", "state": "optimized geometry", "lattice": [[3.998, 2.308, 6.061], [-3.998, 2.308, 6.061], [0.000, -4.617, 6.061]], "species": ["Cs", "Cs", "Pa", "Pa", "Pa", "Cu", "O", "O", "O", "O", "O", "O", "O", "O", "O", "O", "O", "O"], "fractional_positions": [[0.131, 0.131, 0.131], [0.869, 0.869, 0.869], [0.000, 0.500, 0.500], [0.500, 0.000, 0.500], [0.500, 0.500, 0.000], [0.500, 0.500, 0.500], [0.174, 0.174, 0.552], [0.174, 0.552, 0.174], [0.215, 0.555, 0.555], [0.445, 0.445, 0.785], [0.445, 0.785, 0.445], [0.448, 0.826, 0.826], [0.552, 0.174, 0.174], [0.555, 0.215, 0.555], [0.555, 0.555, 0.215], [0.785, 0.445, 0.445], [0.826, 0.448, 0.826], [0.826, 0.826, 0.448]], "raw_formation_energy_ev_per_atom": -2.29}

{"formula": "CsCuPbO2", "functional": "PBE", "state": "optimized geometry", "lattice": [[3.598, -6.827, 0.000], [3.598, 6.827, 0.000], [0.000, 0.000, 4.851]], "species": ["Cs", "Cs", "Cu", "Cu", "Pb", "Pb", "O", "O", "O", "O"], "fractional_positions": [[0.250, 0.750, 0.776], [0.750, 0.250, 0.224], [0.000, 0.000, 0.000], [0.500, 0.500, 0.000], [0.250, 0.250, 0.500], [0.750, 0.750, 0.500], [0.099, 0.901, 0.256], [0.401, 0.599, 0.256], [0.599, 0.401, 0.744], [0.901, 0.099, 0.744]], "raw_formation_energy_ev_per_atom": -0.87}

{"formula": "Cs2Cu2PbO6", "functional": "PBE", "state": "optimized geometry", "lattice": [[3.038, 1.754, 6.629], [-3.038, 1.754, 6.629], [0.000, -3.509, 6.629]], "species": ["Cs", "Cs", "Cu", "Cu", "Pb", "O", "O", "O", "O", "O", "O"], "fractional_positions": [[0.210, 0.210, 0.210], [0.790, 0.790, 0.790], [0.397, 0.397, 0.397], [0.603, 0.603, 0.603], [0.000, 0.000, 0.000], [0.235, 0.235, 0.744], [0.235, 0.744, 0.235], [0.256, 0.765, 0.765], [0.744, 0.235, 0.235], [0.765, 0.256, 0.765], [0.765, 0.765, 0.256]], "raw_formation_energy_ev_per_atom": -0.78}

{"formula": "CsCuPdO2", "functional": "PBE", "state": "optimized geometry", "lattice": [[3.421, -6.650, 0.000], [3.421, 6.650, 0.000], [0.000, 0.000, 4.210]], "species": ["Cs", "Cs", "Cu", "Cu", "Pd", "Pd", "O", "O", "O", "O"], "fractional_positions": [[0.250, 0.750, 0.796], [0.750, 0.250, 0.204], [0.000, 0.000, 0.000], [0.500, 0.500, 0.000], [0.250, 0.250, 0.500], [0.750, 0.750, 0.500], [0.088, 0.912, 0.341], [0.412, 0.588, 0.341], [0.588, 0.412, 0.659], [0.912, 0.088, 0.659]], "raw_formation_energy_ev_per_atom": -0.58}

{"formula": "CsPm2Cu2O6", "functional": "PBE", "state": "optimized geometry", "lattice": [[6.450, 0.000, 0.000], [-3.039, 5.921, 0.000], [-0.343, -3.705, 5.574]], "species": ["Cs", "Pm", "Pm", "Cu", "Cu", "O", "O", "O", "O", "O", "O"], "fractional_positions": [[0.000, 0.000, 0.000], [0.318, 0.641, 0.683], [0.682, 0.359, 0.317], [0.356, 0.722, 0.257], [0.644, 0.278, 0.743], [0.083, 0.571, 0.339], [0.478, 0.371, 0.604], [0.494, 0.113, 0.888], [0.506, 0.887, 0.112], [0.522, 0.629, 0.396], [0.917, 0.429, 0.661]], "raw_formation_energy_ev_per_atom": -1.81}

{"formula": "CsPmCuO4", "functional": "PBE", "state": "optimized geometry", "lattice": [[5.727, 0.000, 0.000], [0.000, 5.665, 0.000], [-0.664, 0.000, 8.154]], "species": ["Cs", "Cs", "Pm", "Pm", "Cu", "Cu", "O", "O", "O", "O", "O", "O", "O", "O"], "fractional_positions": [[0.234, 0.250, 0.104], [0.766, 0.750, 0.896], [0.207, 0.750, 0.466], [0.793, 0.250, 0.534], [0.313, 0.250, 0.679], [0.687, 0.750, 0.321], [0.094, 0.009, 0.674], [0.094, 0.491, 0.674], [0.382, 0.250, 0.457], [0.403, 0.750, 0.212], [0.597, 0.250, 0.788], [0.618, 0.750, 0.543], [0.906, 0.509, 0.326], [0.906, 0.991, 0.326]], "raw_formation_energy_ev_per_atom": -1.55}

{"formula": "Cs2PrCu2O4", "functional": "PBE", "state": "optimized geometry", "lattice": [[6.979, -1.835, 0.000], [6.979, 1.835, 0.000], [-2.046, 0.000, 6.620]], "species": ["Cs", "Cs", "Pr", "Cu", "Cu", "O", "O", "O", "O"], "fractional_positions": [[0.136, 0.136, 0.066], [0.864, 0.864, 0.934], [0.000, 0.000, 0.500], [0.325, 0.325, 0.495], [0.675, 0.675, 0.505], [0.190, 0.190, 0.616], [0.470, 0.470, 0.704], [0.530, 0.530, 0.296], [0.810, 0.810, 0.384]], "raw_formation_energy_ev_per_atom": -1.42}

{"formula": "CsPr2CuO4", "functional": "PBE", "state": "optimized geometry", "lattice": [[1.841, -6.278, 0.000], [1.841, 6.278, 0.000], [0.000, 0.000, 12.338]], "species": ["Cs", "Cs", "Pr", "Pr", "Pr", "Pr", "Cu", "Cu", "O", "O", "O", "O", "O", "O", "O", "O"], "fractional_positions": [[0.100, 0.900, 0.750], [0.900, 0.100, 0.250], [0.367, 0.633, 0.559], [0.367, 0.633, 0.941], [0.633, 0.367, 0.059], [0.633, 0.367, 0.441], [0.173, 0.827, 0.250], [0.827, 0.173, 0.750], [0.000, 0.000, 0.000], [0.000, 0.000, 0.500], [0.249, 0.751, 0.097], [0.249, 0.751, 0.403], [0.406, 0.594, 0.750], [0.594, 0.406, 0.250], [0.751, 0.249, 0.597], [0.751, 0.249, 0.903]], "raw_formation_energy_ev_per_atom": -2.29}